Ca3CI at its PBEsol-relaxed geometry, computed with meta-GGA SCAN.

Lattice parameters (Å, degrees): 5.623 5.623 5.623 90.00 90.00 90.00
Fractional positions:
Ca1 0.000 0.500 0.000
Ca2 0.500 0.000 0.000
Ca3 0.000 0.000 0.500
I1 0.000 0.000 0.000
C1 0.500 0.500 0.500

Computed properties:
Total moment, Bohr magnetons per cell: 0.90
E, eV per atom: -13.95